1.
Ac3Ga4Hg: optimized geometry, PBE.

Cell: 4.5202 4.7576 12.6285 Å, 119.46 100.31 90.00°
Last column: nearest neighbours and their distance in Å.
Positions (direct):
1 Ac 0.0000 0.5000 0.0000  4 Ga 3.24, 4 Hg 3.28
2 Ac 0.1629 0.2915 0.3258  10 Ga 3.41-3.62
3 Ac 0.8371 0.7085 0.6742  10 Ga 3.41-3.62
4 Ga 0.3958 0.3508 0.7916  1 Ga 2.52
5 Ga 0.6042 0.6492 0.2084  1 Ga 2.52
6 Ga 0.7209 0.9106 0.4417  3 Ga 2.52-2.59
7 Ga 0.2791 0.0894 0.5583  3 Ga 2.52-2.59
8 Hg 0.5000 0.0000 0.0000  2 Ga 2.87

Values from the calculation:
SG = No. 12
D(E_F) = 5.77 states/eV per cell
final energy = -3.543 eV/atom
formation energy = -3.6 eV/f.u.

2.
Mg6Cd2N: optimized geometry, PBE.

Cell: 6.2107 6.2111 8.9670 Å, 90.00 90.00 90.00°
Last column: nearest neighbours and their distance in Å.
Positions (direct):
1 Mg 0.0001 0.0000 0.2560  1 N 2.19
2 Mg 0.7537 0.7539 0.5000  1 N 2.16
3 Mg 0.7462 0.7464 0.0000  1 N 2.16
4 Mg 0.7538 0.2464 0.5000  1 N 2.16
5 Mg 0.7463 0.2539 0.0000  1 N 2.16
6 Mg 0.4999 0.5000 0.2440  1 N 2.19
7 Mg 0.9999 0.0000 0.7440  1 N 2.19
8 Mg 0.2463 0.2461 0.5000  1 N 2.16
9 Mg 0.2538 0.2536 0.0000  1 N 2.16
10 Mg 0.2462 0.7536 0.5000  1 N 2.16
11 Mg 0.2537 0.7461 0.0000  1 N 2.16
12 Mg 0.5001 0.5000 0.7560  1 N 2.19
13 Cd 0.0001 0.4999 0.7500  12 Mg 3.11-3.14
14 Cd 0.4999 0.9999 0.7500  12 Mg 3.11-3.14
15 Cd 0.5001 0.0001 0.2500  12 Mg 3.11-3.14
16 Cd 0.9999 0.5001 0.2500  12 Mg 3.11-3.14
17 N 0.5000 0.5000 0.0000  6 Mg 2.16-2.19
18 N 0.0000 0.0000 0.5000  6 Mg 2.16-2.19

Values from the calculation:
SG = No. 139
D(E_F) = 5.26 states/eV per cell
final energy = -2.423 eV/atom
raw formation energy = -0.232 eV/atom

3.
Ta2Ga2Pd: optimized geometry, PBE.

Cell: 6.4057 6.4057 4.0056 Å, 90.00 90.00 90.00°
Last column: nearest neighbours and their distance in Å.
Positions (direct):
1 Ga 0.3618 0.8618 0.0000  2 Pd 2.48, 1 Ga 2.50, 6 Ta 2.71-2.78
2 Ga 0.8618 0.6382 0.0000  2 Pd 2.48, 1 Ga 2.50, 6 Ta 2.71-2.78
3 Ga 0.6382 0.1382 0.0000  2 Pd 2.48, 1 Ga 2.50, 6 Ta 2.71-2.78
4 Ga 0.1382 0.3618 0.0000  2 Pd 2.48, 1 Ga 2.50, 6 Ta 2.71-2.78
5 Pd 0.0000 0.0000 0.0000  4 Ga 2.48
6 Pd 0.5000 0.5000 0.0000  4 Ga 2.48
7 Ta 0.1611 0.6611 0.5000  6 Ga 2.71-2.78, 1 Ta 2.92
8 Ta 0.6611 0.8389 0.5000  6 Ga 2.71-2.78, 1 Ta 2.92
9 Ta 0.8389 0.3389 0.5000  6 Ga 2.71-2.78, 1 Ta 2.92
10 Ta 0.3389 0.1611 0.5000  6 Ga 2.71-2.78, 1 Ta 2.92

Values from the calculation:
SG = No. 127
D(E_F) = 6.87 states/eV per cell
final energy = -7.206 eV/atom
formation energy = -1.1 eV/f.u.

4.
TbTe2O8: optimized geometry, PBE.

Cell: 5.1878 5.1878 6.6248 Å, 113.05 113.05 90.00°
Last column: nearest neighbours and their distance in Å.
Positions (direct):
1 Tb 0.5000 0.5000 0.0000  8 O 2.37
2 Te 0.7500 0.2500 0.5000  4 O 1.91
3 Te 0.2500 0.7500 0.5000  4 O 1.91
4 O 0.8262 0.3373 0.2717  1 Te 1.91
5 O 0.0656 0.5545 0.7283  1 Te 1.91
6 O 0.6627 0.1738 0.7283  1 Te 1.91
7 O 0.1738 0.0656 0.7283  1 Te 1.91
8 O 0.4455 0.9344 0.2717  1 Te 1.91
9 O 0.9344 0.8262 0.2717  1 Te 1.91
10 O 0.3373 0.4455 0.2717  1 Te 1.91
11 O 0.5545 0.6627 0.7283  1 Te 1.91

Values from the calculation:
SG = No. 97
relative energy among the computed polymorphs = 172 meV per atom
D(E_F) = 7.81 states/eV per cell
final energy = -5.670 eV/atom
raw formation energy = -1.071 eV/atom

5.
InGaMoOs2: optimized geometry, PBE.

Cell: 4.5592 4.6855 4.5592 Å, 90.00 90.00 90.00°
Last column: nearest neighbours and their distance in Å.
Positions (direct):
1 Mo 0.5000 0.5000 0.5000  4 In 3.22, 8 Os 3.27
2 Os 0.0000 0.0000 0.5000  2 Ga 2.28
3 Os 0.5000 0.0000 0.0000  2 Ga 2.28
4 Ga 0.0000 0.0000 0.0000  4 Os 2.28, 2 In 2.34
5 In 0.0000 0.5000 0.0000  2 Ga 2.34

Values from the calculation:
SG = No. 123
D(E_F) = 5.31 states/eV per cell
final energy = -6.050 eV/atom
formation energy = 8.8 eV/f.u.

6.
LaYSe3: optimized geometry, PBE.

Cell: 5.6033 5.6033 5.6033 Å, 90.00 90.00 90.00°
Last column: nearest neighbours and their distance in Å.
Positions (direct):
1 Y 0.5000 0.5000 0.5000  12 Se 3.96
2 Se 0.0000 0.5000 0.0000  2 La 2.80
3 Se 0.0000 0.0000 0.5000  2 La 2.80
4 Se 0.5000 0.0000 0.0000  2 La 2.80
5 La 0.0000 0.0000 0.0000  6 Se 2.80

Values from the calculation:
SG = No. 221
relative energy among the computed polymorphs = 1119 meV per atom
D(E_F) = 0.04 states/eV per cell
final energy = -5.223 eV/atom
raw formation energy = -0.854 eV/atom

- The lowest D(E_F) belongs to which entry?
  LaYSe3

- Among the records above, which one has the lowest D(E_F)?
  LaYSe3

- The highest D(E_F) belongs to which entry?
  TbTe2O8